(1)
## TbNd3Tm3S8 (PBE)

Data for TbNd3Tm3S8 after structural relaxation.

```
data_TbNd3Tm3S8
_symmetry_space_group_name_H-M 'P 1'
_symmetry_Int_Tables_number 1
_cell_length_a 7.953
_cell_length_b 7.953
_cell_length_c 7.953
_cell_angle_alpha 59.09
_cell_angle_beta 59.09
_cell_angle_gamma 59.09
loop_
_symmetry_equiv_pos_as_xyz
'x,y,z'
loop_
_atom_site_label
_atom_site_type_symbol
_atom_site_fract_x
_atom_site_fract_y
_atom_site_fract_z
Tb1 Tb 0.000 0.000 0.000
Nd1 Nd 0.000 0.000 0.500
Nd2 Nd 0.000 0.500 0.000
Nd3 Nd 0.500 0.000 0.000
Tm1 Tm 0.000 0.500 0.500
Tm2 Tm 0.500 0.000 0.500
Tm3 Tm 0.500 0.500 0.000
S1 S 0.249 0.249 0.737
S2 S 0.249 0.737 0.249
S3 S 0.257 0.257 0.257
S4 S 0.263 0.751 0.751
S5 S 0.737 0.249 0.249
S6 S 0.743 0.743 0.743
S7 S 0.751 0.263 0.751
S8 S 0.751 0.751 0.263
```

Computed properties:
**SG**: R-3m
**Volume**: 348.4 Å³ per cell
**ΔE_f (raw)**: -2.037 eV/atom

***

(2)
## UH12S2O15 (PBE)

Data for UH12S2O15 after structural relaxation.

```
data_UH12S2O15
_symmetry_space_group_name_H-M 'P 1'
_symmetry_Int_Tables_number 1
_cell_length_a 6.990
_cell_length_b 6.990
_cell_length_c 14.945
_cell_angle_alpha 98.65
_cell_angle_beta 98.65
_cell_angle_gamma 67.37
loop_
_symmetry_equiv_pos_as_xyz
'x,y,z'
loop_
_atom_site_label
_atom_site_type_symbol
_atom_site_fract_x
_atom_site_fract_y
_atom_site_fract_z
U1 U 0.247 0.753 0.750
U2 U 0.753 0.247 0.250
H1 H 0.049 0.680 0.414
H2 H 0.069 0.800 0.220
H3 H 0.143 0.370 0.911
H4 H 0.200 0.931 0.280
H5 H 0.203 0.691 0.504
H6 H 0.233 0.304 0.016
H7 H 0.274 0.430 0.446
H8 H 0.304 0.233 0.516
H9 H 0.309 0.797 0.996
H10 H 0.320 0.951 0.086
H11 H 0.370 0.143 0.411
H12 H 0.430 0.274 0.946
H13 H 0.570 0.726 0.054
H14 H 0.630 0.857 0.589
H15 H 0.680 0.049 0.914
H16 H 0.691 0.203 0.004
H17 H 0.696 0.767 0.484
H18 H 0.726 0.570 0.554
H19 H 0.767 0.696 0.984
H20 H 0.797 0.309 0.496
H21 H 0.800 0.069 0.720
H22 H 0.857 0.630 0.089
H23 H 0.931 0.200 0.780
H24 H 0.951 0.320 0.586
S1 S 0.182 0.371 0.191
S2 S 0.371 0.182 0.691
S3 S 0.629 0.818 0.309
S4 S 0.818 0.629 0.809
O1 O 0.058 0.328 0.253
O2 O 0.060 0.940 0.250
O3 O 0.068 0.582 0.161
O4 O 0.198 0.626 0.441
O5 O 0.215 0.219 0.610
O6 O 0.219 0.215 0.110
O7 O 0.220 0.729 0.626
O8 O 0.259 0.356 0.962
O9 O 0.271 0.780 0.874
O10 O 0.328 0.058 0.753
O11 O 0.356 0.259 0.462
O12 O 0.364 0.382 0.744
O13 O 0.374 0.802 0.059
O14 O 0.382 0.364 0.244
O15 O 0.418 0.932 0.339
O16 O 0.582 0.068 0.661
O17 O 0.618 0.636 0.756
O18 O 0.626 0.198 0.941
O19 O 0.636 0.618 0.256
O20 O 0.644 0.741 0.538
O21 O 0.672 0.942 0.247
O22 O 0.729 0.220 0.126
O23 O 0.741 0.644 0.038
O24 O 0.780 0.271 0.374
O25 O 0.781 0.785 0.890
O26 O 0.785 0.781 0.390
O27 O 0.802 0.374 0.559
O28 O 0.932 0.418 0.839
O29 O 0.940 0.060 0.750
O30 O 0.942 0.672 0.747
```

Computed properties:
**SG**: C2/c
**Volume**: 662.9 Å³ per cell
**E_tot**: -5.879 eV/atom

***

(3)
## In2TcW (PBE)

Data for In2TcW after structural relaxation.

```
data_In2TcW
_symmetry_space_group_name_H-M 'P 1'
_symmetry_Int_Tables_number 1
_cell_length_a 9.445
_cell_length_b 9.445
_cell_length_c 9.445
_cell_angle_alpha 18.28
_cell_angle_beta 18.28
_cell_angle_gamma 18.28
loop_
_symmetry_equiv_pos_as_xyz
'x,y,z'
loop_
_atom_site_label
_atom_site_type_symbol
_atom_site_fract_x
_atom_site_fract_y
_atom_site_fract_z
In1 In 0.247 0.247 0.247
In2 In 0.753 0.753 0.753
Tc1 Tc 0.500 0.500 0.500
W1 W 0.000 0.000 0.000
```

Computed properties:
**SG**: R-3m
**Volume**: 72.4 Å³ per cell
**ΔE_f**: 0.5592 eV per atom

***

| no. | DOS(E_F) (states/eV per cell) |
| --- | --- |
| 1 | 6.81 |
| 2 | 0.00 |
| 3 | 2.68 |